(1)
Compound: LaNd3Mg2
Source: Alexandria
Functional: PBE
Structure: relaxed

It has space group P4/mmm (No. 123), with a = 3.8294 Å, b = 3.8294 Å, c = 13.0214 Å, α = 90.00°, β = 90.00° and γ = 90.00°. The inequivalent atoms are La at (0.0000, 0.0000, 0.0000), Nd at (0.5000, 0.5000, 0.1962), Nd at (0.5000, 0.5000, 0.5000) and Mg at (0.0000, 0.0000, 0.3484).

As for the density of states at the Fermi level: 6.70 states/eV/f.u.

***

(2)
Compound: La5NdMg2
Source: Alexandria
Functional: PBE
Structure: relaxed

It has space group Cm (No. 8), with a = 8.1071 Å, b = 11.5313 Å, c = 7.0465 Å, α = 90.00°, β = 125.09° and γ = 90.00°. The inequivalent atoms are La at (0.0000, 0.0000, 0.0000), La at (0.0163, 0.5000, 0.0293), La at (0.2595, 0.2566, 0.5175), La at (0.4586, 0.0000, 0.5098), Nd at (0.0414, 0.0000, 0.5145) and Mg at (0.2595, 0.2495, 0.0181).

As for the density of states at the Fermi level: 9.10 states/eV/f.u.

***

(3)
Compound: La8Nd6Mg
Source: Alexandria
Functional: PBE
Structure: relaxed

It has space group P-3 (No. 147), with a = 9.5733 Å, b = 9.5733 Å, c = 6.7418 Å, α = 90.00°, β = 90.00° and γ = 120.00°. The inequivalent atoms are La at (0.0426, 0.7658, 0.1735), La at (0.3333, 0.6667, 0.1258), Nd at (0.0934, 0.6526, 0.6603) and Mg at (0.0000, 0.0000, 0.5000).

As for the density of states at the Fermi level: 21.53 states/eV/f.u.

***

(4)
Compound: La5NdMg
Source: Alexandria
Functional: PBE
Structure: relaxed

It has space group C2/c (No. 15), with a = 8.9524 Å, b = 10.0012 Å, c = 11.8234 Å, α = 90.00°, β = 110.83° and γ = 90.00°. The inequivalent atoms are La at (0.0000, 0.1546, 0.2500), La at (0.1175, 0.3447, 0.5237), La at (0.2081, 0.1722, 0.8352), Nd at (0.0000, 0.4827, 0.7500) and Mg at (0.0000, 0.0000, 0.0000).

As for the density of states at the Fermi level: 9.09 states/eV/f.u. The polymorph energy (0 for the lowest one) comes out at 0.0 kJ/mol of atoms.

***

In the order shown, the computed energy of formation values come out to -0.064 -0.006 0.104 0.075 eV/atom.
In the order shown, the computed magnetization values come out to 0.00 0.00 0.00 0.00 μB/cell.
In the order shown, the computed V values come out to 31.824 33.687 35.673 35.337 Å³ per atom.